# 1
Below is a relaxed structure of Al2PtF, with properties calculated at the PBE level.

* spin magnetization: 0.0 μB/cell
* ΔE_f (raw): -0.952 eV/atom
* crystal system: tetragonal
* energy above the lowest structure with this stoichiometry: 1.317 kcal/mol of atoms
* E_tot: -4.80 eV per atom

Cell: 5.327 5.327 10.348 Å, 90.00 90.00 90.00°
Space group I-42d (No. 122)
Unique sites:
1 Al 0.221 0.250 0.125 [8 per cell]
2 Pt 0.000 0.000 0.500 [4 per cell]
3 F 0.000 0.000 0.000 [4 per cell]

# 2
Below is a relaxed structure of Cd2As2Pt, with properties calculated at the PBE level.

* spin magnetization: 0.0 μB/cell
* energy of formation from the pure elements: -0.0301 eV/atom
* crystal system: tetragonal
* E_tot: -3.46 eV per atom

Cell: 6.161 6.161 6.302 Å, 90.00 90.00 90.00°
Space group P4/mbm (No. 127)
Unique sites:
1 Cd 0.184 0.316 0.000 [4 per cell]
2 As 0.135 0.635 0.500 [4 per cell]
3 Pt 0.000 0.000 0.500 [2 per cell]

# 3
Below is a relaxed structure of SrMg2Rh2, with properties calculated at the PBE level.

* spin magnetization: 0.0 μB/cell
* energy of formation from the pure elements: -0.2930 eV/atom
* crystal system: tetragonal
* energy above the lowest structure with this stoichiometry: 0.692 kcal/mol of atoms
* E_tot: -4.21 eV per atom

Cell: 4.519 4.519 21.217 Å, 90.00 90.00 90.00°
Space group I4/mmm (No. 139)
Unique sites:
1 Sr 0.000 0.000 0.136 [4 per cell]
2 Mg 0.000 0.000 0.309 [4 per cell]
3 Mg 0.000 0.500 0.000 [4 per cell]
4 Rh 0.000 0.000 0.434 [4 per cell]
5 Rh 0.000 0.500 0.250 [4 per cell]

# 4
Below is a relaxed structure of ZnCo2Cl, with properties calculated at the PBE level.

* spin magnetization: 10.7 μB/cell
* ΔE_f (raw): 0.618 eV/atom
* crystal system: cubic
* energy above the lowest structure with this stoichiometry: 12.446 kcal/mol of atoms
* E_tot: -3.72 eV per atom

Cell: 5.966 5.966 5.966 Å, 90.00 90.00 90.00°
Space group Fm-3m (No. 225)
Unique sites:
1 Zn 0.000 0.000 0.000 [4 per cell]
2 Co 0.250 0.250 0.250 [8 per cell]
3 Cl 0.000 0.000 0.500 [4 per cell]

# 5
Below is a relaxed structure of Li7Tl4Zn, with properties calculated at the PBE level.

* spin magnetization: 0.0 μB/cell
* energy of formation from the pure elements: -0.1300 eV/atom
* crystal system: triclinic
* E_tot: -2.14 eV per atom

Cell: 5.002 5.590 10.085 Å, 78.73 75.64 63.83°
Space group P-1 (No. 2)
Unique sites:
1 Li 0.000 0.000 0.000 [1 per cell]
2 Li 0.123 0.233 0.522 [2 per cell]
3 Li 0.287 0.507 0.918 [2 per cell]
4 Li 0.398 0.921 0.285 [2 per cell]
5 Tl 0.119 0.555 0.209 [2 per cell]
6 Tl 0.338 0.700 0.624 [2 per cell]
7 Zn 0.500 0.000 0.000 [1 per cell]

# 6
Below is a relaxed structure of Nd5AuSe4, with properties calculated at the PBE level.

* spin magnetization: 0.0 μB/cell
* ΔE_f (raw): -1.647 eV/atom
* crystal system: tetragonal
* E_tot: -5.75 eV per atom

Cell: 9.489 9.489 6.043 Å, 90.00 90.00 90.00°
Space group I4/m (No. 87)
Unique sites:
1 Nd 0.000 0.000 0.000 [2 per cell]
2 Nd 0.102 0.302 0.500 [8 per cell]
3 Au 0.000 0.000 0.500 [2 per cell]
4 Se 0.099 0.302 0.000 [8 per cell]

# 7
Below is a relaxed structure of TmPa2Te5, with properties calculated at the PBE level.

* spin magnetization: 3.7 μB/cell
* ΔE_f (raw): -0.103 eV/atom
* crystal system: tetragonal
* E_tot: -5.00 eV per atom

Cell: 7.448 7.448 5.180 Å, 90.00 90.00 90.00°
Space group P4/mmm (No. 123)
Unique sites:
1 Tm 0.000 0.000 0.000 [1 per cell]
2 Pa 0.000 0.500 0.500 [2 per cell]
3 Te 0.000 0.000 0.500 [1 per cell]
4 Te 0.278 0.278 0.000 [4 per cell]

# 8
Below is a relaxed structure of Cd2CoPb, with properties calculated at the PBE level.

* spin magnetization: 0.0 μB/cell
* energy of formation from the pure elements: 0.4685 eV/atom
* crystal system: cubic
* E_tot: -2.69 eV per atom

Cell: 6.874 6.874 6.874 Å, 90.00 90.00 90.00°
Space group F-43m (No. 216)
Unique sites:
1 Cd 0.000 0.000 0.000 [4 per cell]
2 Cd 0.250 0.250 0.250 [4 per cell]
3 Co 0.000 0.000 0.500 [4 per cell]
4 Pb 0.250 0.250 0.750 [4 per cell]

# 9
Below is a relaxed structure of LaSm2ThSc4, with properties calculated at the PBE level.

* spin magnetization: 0.0 μB/cell
* energy of formation from the pure elements: 0.0442 eV/atom
* crystal system: tetragonal
* E_tot: -5.84 eV per atom

Cell: 5.099 5.099 8.929 Å, 90.00 90.00 90.00°
Space group P4/mmm (No. 123)
Unique sites:
1 La 0.000 0.000 0.000 [1 per cell]
2 Sm 0.000 0.000 0.500 [1 per cell]
3 Sm 0.500 0.500 0.000 [1 per cell]
4 Th 0.500 0.500 0.500 [1 per cell]
5 Sc 0.000 0.500 0.256 [4 per cell]

# 10
Below is a relaxed structure of TlH7Pd4, with properties calculated at the PBE level.

* spin magnetization: 0.0 μB/cell
* crystal system: orthorhombic
* E_tot: -3.86 eV per atom

Cell: 14.014 4.447 4.146 Å, 90.00 90.00 90.00°
Space group Pmn2_1 (No. 31)
Unique sites:
1 Tl 0.000 0.249 0.000 [2 per cell]
2 H 0.000 0.787 0.445 [2 per cell]
3 H 0.174 0.496 0.444 [4 per cell]
4 H 0.174 0.525 0.932 [4 per cell]
5 H 0.180 0.001 0.447 [4 per cell]
6 Pd 0.103 0.749 0.203 [4 per cell]
7 Pd 0.245 0.255 0.190 [4 per cell]

# 11
Below is a relaxed structure of NaDySn2I8, with properties calculated at the PBE level.

* spin magnetization: 0.0 μB/cell
* ΔE_f (raw): -0.891 eV/atom
* crystal system: monoclinic
* E_tot: -3.08 eV per atom

Cell: 7.242 9.259 7.725 Å, 90.00 91.14 90.00°
Space group P2/m (No. 10)
Unique sites:
1 Na 0.000 0.000 0.000 [1 per cell]
2 Dy 0.000 0.500 0.000 [1 per cell]
3 Sn 0.500 0.246 0.500 [2 per cell]
4 I 0.235 0.500 0.675 [2 per cell]
5 I 0.242 0.261 0.153 [4 per cell]
6 I 0.265 0.000 0.652 [2 per cell]

# 12
Below is a relaxed structure of LaPr2Sm6, with properties calculated at the PBE level.

* spin magnetization: 0.0 μB/cell
* energy of formation from the pure elements: 0.0535 eV/atom
* crystal system: orthorhombic
* energy above the lowest structure with this stoichiometry: 0.000 kcal/mol of atoms
* E_tot: -4.70 eV per atom

Cell: 10.023 17.436 3.567 Å, 90.00 90.00 90.00°
Space group Cmmm (No. 65)
Unique sites:
1 La 0.000 0.000 0.000 [2 per cell]
2 Pr 0.000 0.333 0.000 [4 per cell]
3 Sm 0.167 0.167 0.500 [8 per cell]
4 Sm 0.167 0.500 0.500 [4 per cell]

# 13
Below is a relaxed structure of Pm5Tm5Pb2, with properties calculated at the PBE level.

* spin magnetization: 0.0 μB/cell
* energy of formation from the pure elements: -0.0782 eV/atom
* crystal system: monoclinic
* E_tot: -4.54 eV per atom

Cell: 11.436 5.240 12.746 Å, 90.00 92.25 90.00°
Space group C2/m (No. 12)
Unique sites:
1 Pm 0.000 0.000 0.000 [2 per cell]
2 Pm 0.080 0.500 0.820 [4 per cell]
3 Pm 0.157 0.500 0.516 [4 per cell]
4 Tm 0.000 0.000 0.500 [2 per cell]
5 Tm 0.126 0.000 0.265 [4 per cell]
6 Tm 0.204 0.500 0.080 [4 per cell]
7 Pb 0.181 0.000 0.693 [4 per cell]

# 14
Below is a relaxed structure of LiTb2ThSe5, with properties calculated at the PBE level.

* spin magnetization: 0.0 μB/cell
* ΔE_f (raw): -1.617 eV/atom
* crystal system: orthorhombic
* E_tot: -5.62 eV per atom

Cell: 4.063 17.224 12.613 Å, 90.00 90.00 90.00°
Space group Cmc2_1 (No. 36)
Unique sites:
1 Li 0.000 0.010 0.000 [4 per cell]
2 Tb 0.000 0.376 0.812 [4 per cell]
3 Tb 0.000 0.390 0.210 [4 per cell]
4 Th 0.000 0.305 0.523 [4 per cell]
5 Se 0.000 0.001 0.307 [4 per cell]
6 Se 0.000 0.137 0.526 [4 per cell]
7 Se 0.000 0.188 0.856 [4 per cell]
8 Se 0.000 0.211 0.193 [4 per cell]
9 Se 0.000 0.458 0.597 [4 per cell]

# 15
Below is a relaxed structure of Pm2HPt6, with properties calculated at the PBE level.

* spin magnetization: 0.0 μB/cell
* crystal system: monoclinic
* E_tot: -6.16 eV per atom

Cell: 8.592 6.706 5.573 Å, 90.00 91.71 90.00°
Space group C2/m (No. 12)
Unique sites:
1 Pm 0.180 0.000 0.345 [4 per cell]
2 H 0.000 0.500 0.500 [2 per cell]
3 Pt 0.096 0.500 0.216 [4 per cell]
4 Pt 0.120 0.199 0.842 [8 per cell]

# 16
Below is a relaxed structure of AgH6Br, with properties calculated at the PBE level.

* spin magnetization: 0.0 μB/cell
* crystal system: monoclinic
* E_tot: -2.65 eV per atom

Cell: 5.782 6.543 4.981 Å, 90.00 109.74 90.00°
Space group C2/m (No. 12)
Unique sites:
1 Ag 0.000 0.000 0.000 [2 per cell]
2 H 0.101 0.164 0.786 [8 per cell]
3 H 0.142 0.000 0.747 [4 per cell]
4 Br 0.000 0.500 0.500 [2 per cell]

# 17
Below is a relaxed structure of KZn2Bi2, with properties calculated at the PBE level.

* spin magnetization: 0.0 μB/cell
* energy of formation from the pure elements: -0.1580 eV/atom
* crystal system: tetragonal
* energy above the lowest structure with this stoichiometry: 0.000 kcal/mol of atoms
* E_tot: -2.44 eV per atom

Cell: 4.253 4.253 16.851 Å, 90.00 90.00 90.00°
Space group I4/mmm (No. 139)
Unique sites:
1 K 0.000 0.000 0.000 [2 per cell]
2 Zn 0.000 0.500 0.250 [4 per cell]
3 Bi 0.000 0.000 0.362 [4 per cell]

# 18
Below is a relaxed structure of CdHg2GeBi, with properties calculated at the PBE level.

* spin magnetization: 0.0 μB/cell
* energy of formation from the pure elements: 0.3151 eV/atom
* crystal system: tetragonal
* E_tot: -1.69 eV per atom

Cell: 5.253 5.253 5.872 Å, 90.00 90.00 90.00°
Space group P4/mmm (No. 123)
Unique sites:
1 Cd 0.000 0.000 0.000 [1 per cell]
2 Hg 0.000 0.500 0.500 [2 per cell]
3 Ge 0.500 0.500 0.500 [1 per cell]
4 Bi 0.500 0.500 0.000 [1 per cell]

# 19
Below is a relaxed structure of AlFe2Co, with properties calculated at the PBE level.

* spin magnetization: 5.7 μB/cell
* energy of formation from the pure elements: -0.1528 eV/atom
* crystal system: orthorhombic
* E_tot: -7.10 eV per atom

Cell: 2.611 3.579 5.071 Å, 90.00 90.00 90.00°
Space group Pmmm (No. 47)
Unique sites:
1 Al 0.000 0.000 0.000 [1 per cell]
2 Fe 0.500 0.500 0.255 [2 per cell]
3 Co 0.000 0.000 0.500 [1 per cell]

# 20
Below is a relaxed structure of VZnCl2, with properties calculated at the PBE level.

* spin magnetization: 12.0 μB/cell
* ΔE_f (raw): -0.437 eV/atom
* crystal system: tetragonal
* energy above the lowest structure with this stoichiometry: 1.602 kcal/mol of atoms
* E_tot: -3.96 eV per atom

Cell: 8.439 8.439 5.502 Å, 90.00 90.00 90.00°
Space group I-42d (No. 122)
Unique sites:
1 V 0.000 0.000 0.000 [4 per cell]
2 Zn 0.000 0.000 0.500 [4 per cell]
3 Cl 0.113 0.750 0.125 [8 per cell]

# 21
Below is a relaxed structure of CaSmCdRh, with properties calculated at the PBE level.

* spin magnetization: 0.0 μB/cell
* energy of formation from the pure elements: -0.3862 eV/atom
* crystal system: cubic
* energy above the lowest structure with this stoichiometry: 1.916 kcal/mol of atoms
* E_tot: -4.13 eV per atom

Cell: 7.257 7.257 7.257 Å, 90.00 90.00 90.00°
Space group F-43m (No. 216)
Unique sites:
1 Ca 0.000 0.000 0.000 [4 per cell]
2 Sm 0.000 0.000 0.500 [4 per cell]
3 Cd 0.250 0.250 0.250 [4 per cell]
4 Rh 0.250 0.250 0.750 [4 per cell]

# 22
Below is a relaxed structure of BaMgCd2Hg6, with properties calculated at the PBE level.

* spin magnetization: 0.0 μB/cell
* energy of formation from the pure elements: -0.2141 eV/atom
* crystal system: monoclinic
* E_tot: -0.93 eV per atom

Cell: 10.176 15.709 8.294 Å, 90.00 126.26 90.00°
Space group C2/c (No. 15)
Unique sites:
1 Ba 0.000 0.208 0.250 [4 per cell]
2 Mg 0.000 0.427 0.750 [4 per cell]
3 Cd 0.235 0.408 0.239 [8 per cell]
4 Hg 0.111 0.068 0.986 [8 per cell]
5 Hg 0.139 0.416 0.517 [8 per cell]
6 Hg 0.155 0.262 0.768 [8 per cell]

# 23
Below is a relaxed structure of CePm2Ru3, with properties calculated at the PBE level.

* spin magnetization: 0.0 μB/cell
* energy of formation from the pure elements: -0.2344 eV/atom
* crystal system: orthorhombic
* energy above the lowest structure with this stoichiometry: 0.000 kcal/mol of atoms
* E_tot: -7.44 eV per atom

Cell: 4.934 14.638 6.992 Å, 90.00 90.00 90.00°
Space group Cmmm (No. 65)
Unique sites:
1 Ce 0.000 0.166 0.000 [4 per cell]
2 Pm 0.000 0.166 0.500 [4 per cell]
3 Pm 0.000 0.500 0.000 [2 per cell]
4 Pm 0.000 0.500 0.500 [2 per cell]
5 Ru 0.000 0.000 0.236 [4 per cell]
6 Ru 0.000 0.327 0.230 [8 per cell]